## 1
Here is an optimized crystal structure of LiMoH3 from the Alexandria database. Energies are from PBE-GGA.

## Properties
The calculation puts the total magnetization at 1.97 μB per cell. As for the volume: 46.8 Å³ per cell.

The structure in POSCAR format:
```
LiMoH3
1.0
3.605 0.000 0.000
0.000 3.605 0.000
0.000 0.000 3.605
Li Mo H
1 1 3
direct
0.000 0.000 0.000
0.500 0.500 0.500
0.000 0.500 0.500
0.500 0.000 0.500
0.500 0.500 0.000
```

---

## 2
Here is an optimized crystal structure of LiMoH3 from the Alexandria database. Energies are from PBE-GGA.

## Properties
The calculation puts the total magnetization at 1.22 μB per cell. As for the volume: 32.3 Å³ per cell.

The structure in POSCAR format:
```
LiMoH3
1.0
3.184 0.000 0.000
0.000 3.184 0.000
0.000 0.000 3.184
Li Mo H
1 1 3
direct
0.000 0.000 0.000
0.500 0.500 0.500
0.000 0.000 0.500
0.000 0.500 0.000
0.500 0.000 0.000
```

---

## 3
Here is an optimized crystal structure of LiMoH3 from the Alexandria database. Energies are from PBE-GGA.

## Properties
The calculation puts the total magnetization at 0.00 μB per cell. As for the volume: 86.3 Å³ per cell.

The structure in POSCAR format:
```
LiMoH3
1.0
2.320 1.340 4.627
-2.320 1.340 4.627
0.000 -2.679 4.627
Li Mo H
2 2 6
direct
0.110 0.110 0.110
0.890 0.890 0.890
0.328 0.328 0.328
0.672 0.672 0.672
0.091 0.596 0.596
0.404 0.404 0.909
0.404 0.909 0.404
0.596 0.091 0.596
0.596 0.596 0.091
0.909 0.404 0.404
```

---

Which one sits at the top of the stability order? 3 does.